# 1
Entry from Alexandria via LeMat-Bulk: a relaxed structure of AlIn2As (PBE).

a = 3.600 Å, b = 3.600 Å, c = 7.078 Å
α = 90.00°, β = 90.00°, γ = 90.00°
Space group P4/mmm (No. 123)
Asymmetric unit:
Al1 0.000 0.000 0.000 (multiplicity 1)
In1 0.500 0.500 0.263 (multiplicity 2)
As1 0.000 0.000 0.500 (multiplicity 1)

Properties
**E above lowest polymorph**: 229.3 meV/atom
**Volume**: 91.71 Å³ per cell
**D(E_F)**: 1.49 states/eV per cell

***

# 2
Entry from Alexandria via LeMat-Bulk: a relaxed structure of AlIn2As (PBE).

a = 3.710 Å, b = 3.763 Å, c = 13.888 Å
α = 90.00°, β = 90.00°, γ = 90.00°
Space group Immm (No. 71)
Asymmetric unit:
Al1 0.000 0.000 0.000 (multiplicity 2)
In1 0.000 0.500 0.320 (multiplicity 4)
As1 0.000 0.000 0.500 (multiplicity 2)

Properties
**E above lowest polymorph**: 73.4 meV/atom
**Volume**: 193.88 Å³ per cell
**D(E_F)**: 2.98 states/eV per cell

***

no.,raw total energy (eV/atom),calculated formation energy (meV per atom)
1,-3.29,181
2,-3.44,25